This record from Alexandria via LeMat-Bulk describes crystalline BaCaAcEu at its relaxed geometry. The functional is PBE-GGA.

Lattice parameters (Å, degrees): 6.438 6.438 6.438 60.00 60.00 60.00
Fractional coordinates of all 4 atoms:
1 Eu 0.250 0.250 0.250
2 Ac 0.500 0.500 0.500
3 Ca 0.000 0.000 0.000
4 Ba 0.750 0.750 0.750

- Formation enthalpy at 0 K: 92 meV/atom